[1]
This record from the Alexandria database describes SrSi after structural relaxation. The functional is PBE.

```
SrSi
1.0
8.443 0.000 0.000
0.000 6.801 0.000
0.000 0.000 3.715
Sr Si
4 4
Direct
0.288 0.000 0.500 Sr
0.712 0.000 0.500 Sr
0.788 0.500 0.500 Sr
0.212 0.500 0.500 Sr
0.000 0.827 0.000 Si
0.000 0.173 0.000 Si
0.500 0.327 0.000 Si
0.500 0.673 0.000 Si
```

Calculated values
As for the calculated total energy: -30.7 eV per cell. Its crystal system is orthorhombic. The value obtained for the formation energy from raw total energies is -0.28 eV per atom. Its magnetization is 0.000 μB per atom.



[2]
This record from the Alexandria database describes ScRuBr2 after structural relaxation. The functional is PBE.

```
ScRuBr2
1.0
7.389 0.064 0.006
5.435 5.007 -0.006
-6.200 -3.071 2.594
Br Ru Sc
2 1 1
Direct
0.975 0.975 0.000 Br
0.726 0.226 0.500 Br
0.469 0.469 0.000 Ru
0.329 0.829 0.500 Sc
```

Calculated values
As for the calculated total energy: -20.7 eV per cell. Its crystal system is orthorhombic. The value obtained for the formation energy from raw total energies is -0.44 eV per atom. Its magnetization is 0.000 μB per atom. The value obtained for the distance to the lowest polymorph of the same formula is 125.0 meV per atom.



[3]
This record from the Alexandria database describes Pm2PIr after structural relaxation. The functional is PBE.

```
Pm2PIr
1.0
-1.859 -3.686 0.036
1.725 -3.162 2.017
-3.416 -0.528 6.320
P Ir Pm
1 1 2
Direct
0.500 0.500 0.500 P
0.000 0.000 0.000 Ir
0.750 0.750 0.751 Pm
0.250 0.250 0.249 Pm
```

Calculated values
As for the calculated total energy: -27.4 eV per cell. For the calculated formation energy, the calculation gives -904 meV/atom. Its crystal system is trigonal. Its magnetization is 0.000 μB per atom. The value obtained for the distance to the lowest polymorph of the same formula is 0.0 meV per atom.



[4]
This record from the Alexandria database describes LiBe2Fe after structural relaxation. The functional is PBE.

```
LiBe2Fe
1.0
-1.111 -4.302 3.722
3.750 -3.405 -2.817
3.018 -3.112 1.817
Be Fe Li
4 2 2
Direct
0.626 0.125 0.250 Be
0.124 0.625 0.250 Be
0.375 0.374 0.750 Be
0.875 0.876 0.750 Be
0.000 0.000 0.000 Fe
0.750 0.250 0.500 Fe
0.500 0.500 0.000 Li
0.250 0.750 0.500 Li
```

Calculated values
As for the calculated total energy: -32.1 eV per cell. For the calculated formation energy, the calculation gives 445 meV/atom. Its crystal system is tetragonal. Its magnetization is 0.000 μB per atom.